(1)
LaDyY2Er5 | PBE-GGA | optimized geometry

```
data_LaDyY2Er5
_cell_length_a 8.900
_cell_length_b 8.900
_cell_length_c 14.769
_cell_angle_alpha 90.00
_cell_angle_beta 90.00
_cell_angle_gamma 90.00
_space_group_name_H-M_alt 'I 4/m c m'
_space_group_IT_number 140
_space_group_name_Hall '-I 4 2c'
loop_
_atom_site_label
_atom_site_type_symbol
_atom_site_fract_x
_atom_site_fract_y
_atom_site_fract_z
La1 La 0.000 0.000 0.250
Dy1 Dy 0.000 0.500 0.250
Y1 Y 0.114 0.386 0.000
Er1 Er 0.000 0.000 0.000
Er2 Er 0.206 0.294 0.367
```

Results
N(E_F), states/eV/atom: 1.280
Crystal system: tetragonal
Mass density, g/cm3: 7.5
Formation enthalpy at 0 K, eV/atom: 0.30
Magnetic moment, μB/cell: 0.0


(2)
La2Dy2Y6Er | PBE-GGA | optimized geometry

```
data_La2Dy2Y6Er
_cell_length_a 6.245
_cell_length_b 10.504
_cell_length_c 11.730
_cell_angle_alpha 90.00
_cell_angle_beta 97.41
_cell_angle_gamma 90.00
_space_group_name_H-M_alt 'C 1 2/m 1'
_space_group_IT_number 12
loop_
_space_group_symop_operation_xyz
'x,y,z'
'-x,-y,-z'
'-x,y,-z'
'x,-y,z'
'x+1/2,y+1/2,z'
'-x+1/2,-y+1/2,-z'
'-x+1/2,y+1/2,-z'
'x+1/2,-y+1/2,z'
loop_
_atom_site_label
_atom_site_type_symbol
_atom_site_fract_x
_atom_site_fract_y
_atom_site_fract_z
La1 La 0.000 0.181 0.000
Dy1 Dy 0.000 0.336 0.500
Y1 Y 0.230 0.500 0.752
Y2 Y 0.232 0.167 0.742
Er1 Er 0.000 0.000 0.500
```

Results
N(E_F), states/eV/atom: 1.720
Crystal system: monoclinic
Mass density, g/cm3: 5.7
Formation enthalpy at 0 K, eV/atom: 0.18
Magnetic moment, μB/cell: 0.0


(3)
LaDy2YEr | PBE-GGA | optimized geometry

```
data_LaDy2YEr
_cell_length_a 8.433
_cell_length_b 11.528
_cell_length_c 7.249
_cell_angle_alpha 90.00
_cell_angle_beta 90.00
_cell_angle_gamma 90.00
_space_group_name_H-M_alt 'C m c m'
_space_group_IT_number 63
_space_group_name_Hall '-C 2c 2'
loop_
_atom_site_label
_atom_site_type_symbol
_atom_site_fract_x
_atom_site_fract_y
_atom_site_fract_z
La1 La 0.000 0.231 0.250
Dy1 Dy 0.189 0.000 0.000
Y1 Y 0.000 0.498 0.750
Er1 Er 0.000 0.218 0.750
```

Results
N(E_F), states/eV/atom: 1.448
Crystal system: orthorhombic
Mass density, g/cm3: 6.8
Formation enthalpy at 0 K, eV/atom: 0.37
Magnetic moment, μB/cell: 0.0


(4)
LaDy3YEr | PBE-GGA | optimized geometry

```
data_LaDy3YEr
_cell_length_a 19.702
_cell_length_b 5.681
_cell_length_c 7.039
_cell_angle_alpha 90.00
_cell_angle_beta 91.02
_cell_angle_gamma 90.00
_space_group_name_H-M_alt 'C 1 2/m 1'
_space_group_IT_number 12
loop_
_space_group_symop_operation_xyz
'x,y,z'
'-x,-y,-z'
'-x,y,-z'
'x,-y,z'
'x+1/2,y+1/2,z'
'-x+1/2,-y+1/2,-z'
'-x+1/2,y+1/2,-z'
'x+1/2,-y+1/2,z'
loop_
_atom_site_label
_atom_site_type_symbol
_atom_site_fract_x
_atom_site_fract_y
_atom_site_fract_z
La1 La 0.144 0.000 0.024
Dy1 Dy 0.023 0.000 0.733
Dy2 Dy 0.162 0.500 0.722
Dy3 Dy 0.220 0.500 0.243
Y1 Y 0.052 0.500 0.271
Er1 Er 0.149 0.000 0.456
```

Results
N(E_F), states/eV/atom: 1.631
Crystal system: monoclinic
Mass density, g/cm3: 7.4
Formation enthalpy at 0 K, eV/atom: 0.21
Magnetic moment, μB/cell: 0.0


(5)
LaDy2Y3Er6 | PBE-GGA | optimized geometry

```
data_LaDy2Y3Er6
_cell_length_a 6.151
_cell_length_b 10.646
_cell_length_c 11.761
_cell_angle_alpha 90.00
_cell_angle_beta 100.01
_cell_angle_gamma 90.00
_space_group_name_H-M_alt 'C 1 2/m 1'
_space_group_IT_number 12
loop_
_space_group_symop_operation_xyz
'x,y,z'
'-x,-y,-z'
'-x,y,-z'
'x,-y,z'
'x+1/2,y+1/2,z'
'-x+1/2,-y+1/2,-z'
'-x+1/2,y+1/2,-z'
'x+1/2,-y+1/2,z'
loop_
_atom_site_label
_atom_site_type_symbol
_atom_site_fract_x
_atom_site_fract_y
_atom_site_fract_z
La1 La 0.000 0.000 0.000
Dy1 Dy 0.000 0.333 0.000
Y1 Y 0.000 0.167 0.500
Y2 Y 0.000 0.500 0.500
Er1 Er 0.248 0.333 0.749
Er2 Er 0.250 0.000 0.749
```

Results
N(E_F), states/eV/atom: 1.403
Crystal system: monoclinic
Mass density, g/cm3: 7.6
Formation enthalpy at 0 K, eV/atom: 0.03
Magnetic moment, μB/cell: 0.0


(6)
La2DyY5Er | PBE-GGA | optimized geometry

```
data_La2DyY5Er
_cell_length_a 5.672
_cell_length_b 20.031
_cell_length_c 10.708
_cell_angle_alpha 90.00
_cell_angle_beta 90.00
_cell_angle_gamma 90.00
_space_group_name_H-M_alt 'C m c 21'
_space_group_IT_number 36
loop_
_space_group_symop_operation_xyz
'x,y,z'
'-x,-y,z+1/2'
'-x,y,z'
'x,-y,z+1/2'
'x+1/2,y+1/2,z'
'-x+1/2,-y+1/2,z+1/2'
'-x+1/2,y+1/2,z'
'x+1/2,-y+1/2,z+1/2'
loop_
_atom_site_label
_atom_site_type_symbol
_atom_site_fract_x
_atom_site_fract_y
_atom_site_fract_z
La1 La 0.000 0.114 0.000
La2 La 0.000 0.115 0.584
Dy1 Dy 0.000 0.412 0.725
Y1 Y 0.000 0.016 0.287
Y2 Y 0.000 0.279 0.581
Y3 Y 0.000 0.299 0.970
Y4 Y 0.000 0.383 0.287
Y5 Y 0.000 0.481 0.005
Er1 Er 0.000 0.198 0.279
```

Results
N(E_F), states/eV/atom: 1.379
Crystal system: orthorhombic
Mass density, g/cm3: 5.7
Formation enthalpy at 0 K, eV/atom: 0.14
Magnetic moment, μB/cell: 0.0